1.
Here is ThGa2Rh5 after structural relaxation from the Alexandria database. Energies are from PBE-GGA.

Structure (POSCAR):
```
ThGa2Rh5
1.0
-2.008 2.991 5.725
2.008 -2.991 5.725
2.008 2.991 -5.725
Th Ga Rh
1 2 5
direct
0.000 0.000 0.000
0.288 0.788 0.500
0.712 0.212 0.500
0.141 0.372 0.768
0.396 0.628 0.768
0.500 0.000 0.500
0.604 0.372 0.232
0.859 0.628 0.232
```

Output
SG	Immm
formation energy from the elements	-591	meV/atom
total moment	0.00	μB per formula unit


2.
Here is La3Bi2Ir after structural relaxation from the Alexandria database. Energies are from PBE-GGA.

Structure (POSCAR):
```
La3Bi2Ir
1.0
7.169 -3.294 0.000
7.169 3.294 0.000
-2.810 0.000 8.527
La Bi Ir
6 4 2
direct
0.076 0.924 0.750
0.351 0.356 0.927
0.356 0.351 0.427
0.644 0.649 0.573
0.649 0.644 0.073
0.924 0.076 0.250
0.171 0.176 0.587
0.176 0.171 0.087
0.824 0.829 0.913
0.829 0.824 0.413
0.496 0.504 0.750
0.504 0.496 0.250
```

Output
SG	C2/c
formation energy from the elements	-806	meV/atom
total moment	0.00	μB per formula unit


3.
Here is Mn2FeCo after structural relaxation from the Alexandria database. Energies are from PBE-GGA.

Structure (POSCAR):
```
Mn2FeCo
1.0
2.446 0.000 0.000
0.000 3.955 0.000
-0.888 0.000 4.645
Mn Fe Co
2 1 1
direct
0.000 0.000 0.000
0.268 0.500 0.769
0.506 0.000 0.505
0.759 0.500 0.264
```

Output
SG	Pm
formation energy from the elements	131	meV/atom
total moment	6.72	μB per formula unit


4.
Here is TcIrPd after structural relaxation from the Alexandria database. Energies are from PBE-GGA.

Structure (POSCAR):
```
TcIrPd
1.0
-1.372 1.932 4.147
1.372 -1.932 4.147
1.372 1.932 -4.147
Tc Ir Pd
1 1 1
direct
0.000 0.000 0.000
0.652 0.652 0.000
0.327 0.327 0.000
```

Output
SG	Imm2
formation energy from the elements	-52	meV/atom
total moment	0.00	μB per formula unit


5.
Here is KSbPd after structural relaxation from the Alexandria database. Energies are from PBE-GGA.

Structure (POSCAR):
```
KSbPd
1.0
4.497 0.000 0.000
-2.248 3.894 0.000
0.000 0.000 5.367
K Sb Pd
1 1 1
direct
0.000 0.000 0.000
0.667 0.333 0.500
0.333 0.667 0.500
```

Output
E_tot	-11.43	eV per formula unit
SG	P-6m2
total moment	0.00	μB per formula unit


6.
Here is CsNaMgTl2 after structural relaxation from the Alexandria database. Energies are from PBE-GGA.

Structure (POSCAR):
```
CsNaMgTl2
1.0
5.734 0.000 0.000
0.000 5.734 0.000
0.000 0.000 6.186
Cs Na Mg Tl
1 1 1 2
direct
0.000 0.000 0.000
0.500 0.500 0.000
0.500 0.500 0.500
0.000 0.500 0.500
0.500 0.000 0.500
```

Output
SG	P4/mmm
formation energy from the elements	71	meV/atom
total moment	0.00	μB per formula unit


7.
Here is ReHgCl after structural relaxation from the Alexandria database. Energies are from PBE-GGA.

Structure (POSCAR):
```
ReHgCl
1.0
4.673 0.000 0.000
-2.337 4.047 0.000
0.000 0.000 2.853
Re Hg Cl
1 1 1
direct
0.000 0.000 0.000
0.667 0.333 0.500
0.333 0.667 0.000
```

Output
E_tot	-11.31	eV per formula unit
SG	P-6m2
total moment	0.40	μB per formula unit


8.
Here is SiAgAs2 after structural relaxation from the Alexandria database. Energies are from PBE-GGA.

Structure (POSCAR):
```
SiAgAs2
1.0
2.839 0.000 0.000
0.000 3.544 0.000
0.000 0.000 7.308
Si Ag As
1 1 2
direct
0.000 0.000 0.000
0.000 0.000 0.500
0.500 0.500 0.233
0.500 0.500 0.767
```

Output
E_tot	-16.04	eV per formula unit
SG	Pmmm
total moment	0.00	μB per formula unit